Li7Mn2Co3O12 PBE with a Hubbard U optimized geometry; calculated density = 4.17 g/cm3; distance to the lowest polymorph of the same formula = 166.4 meV per atom; VASP energy = -5.730 eV/atom; total magnetic moment = 0.040 μB per cell
1.0
-2.714 0.461 0.836
1.568 -2.052 1.269
9.400 19.438 19.808
Li Co O Mn
7 3 12 2
direct
0.000 0.000 0.253
0.000 0.000 0.751
0.333 0.667 0.911
0.000 0.000 0.501
0.667 0.333 0.587
0.333 0.667 0.415
0.667 0.333 0.083
0.667 0.333 0.832
0.667 0.333 0.330
0.333 0.667 0.672
0.333 0.667 0.294
0.667 0.333 0.455
0.667 0.333 0.203
0.333 0.667 0.547
0.000 0.000 0.868
0.333 0.667 0.038
0.667 0.333 0.959
0.000 0.000 0.363
0.000 0.000 0.129
0.333 0.667 0.798
0.000 0.000 0.639
0.667 0.333 0.707
0.000 0.000 0.998
0.333 0.667 0.166